Entry from Alexandria via LeMat-Bulk: a relaxed Ho8Te4P3Se crystal (PBE).

Summary:
E_form (uncorrected): -149.0 kJ per mole of atoms
Raw total energy: -5.851 eV per atom
Size of the total moment: 0.000 μB per atom

Cell: 8.2168 8.2168 21.0970 Å, 90.00 90.00 120.00°
With the nearest neighbours (Å) after each atom.
Space group R-3m (No. 166, hexagonal axes)
Inequivalent atoms, fractional coordinates:
Ho 0.0000 0.0000 0.2360 (multiplicity 6)  3 P 2.79
Ho 0.0114 0.5057 0.7632 (multiplicity 18)  2 P 2.76, 1 Se 2.86, 1 Te 3.07
Te 0.0000 0.0000 0.0000 (multiplicity 3)  6 Ho 3.07
Te 0.0000 0.5000 0.0000 (multiplicity 9)  6 Ho 3.14-3.16
P 0.0000 0.5000 0.5000 (multiplicity 9)  6 Ho 2.76-2.79
Se 0.0000 0.0000 0.5000 (multiplicity 3)  6 Ho 2.86